Entry from Alexandria via LeMat-Bulk: an optimized crystal structure of TmPaV2O8 (GGA+U).

Results
Magnetization ... 2.00 μB/cell
Space-group type ... I-4 (82)
Energy ... -8.51 eV per atom

a b c (Å): 6.5702 6.5702 6.5702
angles (deg): 133.99 133.99 67.10
Element x y z (fractional)
Tm (0.0000, 0.0000, 0.0000)
Pa (0.2500, 0.7500, 0.5000)
V (0.5000, 0.5000, 0.0000)
V (0.7500, 0.2500, 0.5000)
O (0.0026, 0.0663, 0.4071)
O (0.2464, 0.6772, 0.0921)
O (0.3228, 0.4150, 0.5693)
O (0.4045, 0.9974, 0.0637)
O (0.5850, 0.1543, 0.9079)
O (0.6592, 0.5955, 0.5929)
O (0.8457, 0.7536, 0.4307)
O (0.9337, 0.3408, 0.9363)